Record 1
VASP calculation (PBE) on Nd5Sm6Tm after structural relaxation. Values from VASP.

Cell and atoms, written as Quantum ESPRESSO input:
```
&SYSTEM
  ibrav = 0, nat = 12, ntyp = 3
/
ATOMIC_SPECIES
Nd 144.24 Nd.upf
Sm 150.36 Sm.upf
Tm 168.93 Tm.upf
CELL_PARAMETERS angstrom
3.1518 -5.4565 0.0000
3.1518 5.4565 0.0000
-2.1042 0.0000 11.8927
ATOMIC_POSITIONS crystal
Nd 0.0000 0.0000 0.0000
Nd 0.1667 0.8333 0.5000
Nd 0.3335 0.6665 0.0000
Nd 0.6665 0.3335 0.0000
Nd 0.8333 0.1667 0.5000
Sm 0.0861 0.4180 0.2517
Sm 0.2501 0.2501 0.7486
Sm 0.4180 0.0861 0.2517
Sm 0.5820 0.9139 0.7483
Sm 0.7499 0.7499 0.2514
Sm 0.9139 0.5820 0.7483
Tm 0.5000 0.5000 0.5000
```


Record 2
VASP calculation (PBE) on Nd4Sm4Tm5 after structural relaxation. Values from VASP.

Cell and atoms, written as Quantum ESPRESSO input:
```
&SYSTEM
  ibrav = 0, nat = 13, ntyp = 3
/
ATOMIC_SPECIES
Nd 144.24 Nd.upf
Sm 150.36 Sm.upf
Tm 168.93 Tm.upf
CELL_PARAMETERS angstrom
-6.4834 6.4834 2.5309
6.4834 -6.4834 2.5309
6.4834 6.4834 -2.5309
ATOMIC_POSITIONS crystal
Nd 0.0792 0.6168 0.6960
Nd 0.3832 0.0792 0.4624
Nd 0.6168 0.9208 0.5376
Nd 0.9208 0.3832 0.3040
Sm 0.1523 0.2282 0.3805
Sm 0.2282 0.8477 0.0759
Sm 0.7718 0.1523 0.9241
Sm 0.8477 0.7718 0.6195
Tm 0.0000 0.0000 0.0000
Tm 0.3114 0.4616 0.7730
Tm 0.4616 0.6886 0.1501
Tm 0.5384 0.3114 0.8499
Tm 0.6886 0.5384 0.2270
```


Record 3
VASP calculation (PBE) on NdSm3Tm3 after structural relaxation. Values from VASP.

Cell and atoms, written as Quantum ESPRESSO input:
```
&SYSTEM
  ibrav = 0, nat = 14, ntyp = 3
/
ATOMIC_SPECIES
Nd 144.24 Nd.upf
Sm 150.36 Sm.upf
Tm 168.93 Tm.upf
CELL_PARAMETERS angstrom
4.3268 2.4981 7.3115
-4.3268 2.4981 7.3115
0.0000 -4.9962 7.3115
ATOMIC_POSITIONS crystal
Nd 0.1544 0.1544 0.1544
Nd 0.8456 0.8456 0.8456
Sm 0.0672 0.2213 0.5695
Sm 0.2213 0.5695 0.0672
Sm 0.4305 0.9328 0.7787
Sm 0.5695 0.0672 0.2213
Sm 0.7787 0.4305 0.9328
Sm 0.9328 0.7787 0.4305
Tm 0.2164 0.4364 0.6719
Tm 0.3281 0.7836 0.5636
Tm 0.4364 0.6719 0.2164
Tm 0.5636 0.3281 0.7836
Tm 0.6719 0.2164 0.4364
Tm 0.7836 0.5636 0.3281
```


Number 1: calculated formation energy 14 meV per atom, DOS at the Fermi energy 17.2 states/eV/cell. Number 2: calculated formation energy 21 meV per atom, DOS at the Fermi energy 18.6 states/eV/cell. Number 3: calculated formation energy 200 meV per atom, DOS at the Fermi energy 21.4 states/eV/cell.